Entry 1:
VASP calculation (PBE-GGA) on an optimized crystal structure of Ta2AgIr.

Cell and atoms, written as CIF:
```
data_Ta2AgIr
_symmetry_space_group_name_H-M 'C 1 2/m 1'
_symmetry_Int_Tables_number 12
_cell_length_a 5.690
_cell_length_b 8.188
_cell_length_c 2.867
_cell_angle_alpha 90.00
_cell_angle_beta 90.16
_cell_angle_gamma 90.00
loop_
_symmetry_equiv_pos_as_xyz
'x,y,z'
'-x,-y,-z'
'-x,y,-z'
'x,-y,z'
'x+1/2,y+1/2,z'
'-x+1/2,-y+1/2,-z'
'-x+1/2,y+1/2,-z'
'x+1/2,-y+1/2,z'
loop_
_atom_site_label
_atom_site_type_symbol
_atom_site_fract_x
_atom_site_fract_y
_atom_site_fract_z
Ta1 Ta 0.250 0.250 0.000
Ag1 Ag 0.000 0.000 0.500
Ir1 Ir 0.000 0.500 0.500
```

Formation energy, eV/f.u.: -0.33

---

Entry 2:
VASP calculation (PBE-GGA) on an optimized crystal structure of Tl2CrPb.

Cell and atoms, written as CIF:
```
data_Tl2CrPb
_symmetry_space_group_name_H-M 'P 1 m 1'
_symmetry_Int_Tables_number 6
_cell_length_a 3.489
_cell_length_b 4.524
_cell_length_c 7.044
_cell_angle_alpha 90.00
_cell_angle_beta 102.70
_cell_angle_gamma 90.00
loop_
_symmetry_equiv_pos_as_xyz
'x,y,z'
'x,-y,z'
loop_
_atom_site_label
_atom_site_type_symbol
_atom_site_fract_x
_atom_site_fract_y
_atom_site_fract_z
Tl1 Tl 0.000 0.000 0.000
Tl2 Tl 0.382 0.500 0.744
Cr1 Cr 0.153 0.500 0.292
Pb1 Pb 0.718 0.000 0.435
```

Formation energy, eV/f.u.: 1.62
Energy above the most stable polymorph in this dataset, meV per atom: 70

---

Entry 3:
VASP calculation (PBE-GGA) on an optimized crystal structure of Ce2SmGa2Cu2.

Cell and atoms, written as CIF:
```
data_Ce2SmGa2Cu2
_symmetry_space_group_name_H-M 'R -3 m'
_symmetry_Int_Tables_number 166
_symmetry_space_group_name_Hall '-R 3 2"'
_cell_length_a 4.3104
_cell_length_b 4.3104
_cell_length_c 26.9587
_cell_angle_alpha 90.00
_cell_angle_beta 90.00
_cell_angle_gamma 120.00
loop_
_atom_site_label
_atom_site_type_symbol
_atom_site_fract_x
_atom_site_fract_y
_atom_site_fract_z
Ce1 Ce 0.0000 0.0000 0.1403
Sm1 Sm 0.0000 0.0000 0.0000
Ga1 Ga 0.0000 0.0000 0.2612
Cu1 Cu 0.0000 0.0000 0.4075
```

Formation energy, eV/f.u.: -2.89

---

Entry 4:
VASP calculation (PBE-GGA) on an optimized crystal structure of MgGeAsBr2.

Cell and atoms, written as CIF:
```
data_MgGeAsBr2
_symmetry_space_group_name_H-M 'P 4/m m m'
_symmetry_Int_Tables_number 123
_symmetry_space_group_name_Hall '-P 4 2'
_cell_length_a 5.200
_cell_length_b 5.200
_cell_length_c 5.272
_cell_angle_alpha 90.00
_cell_angle_beta 90.00
_cell_angle_gamma 90.00
loop_
_atom_site_label
_atom_site_type_symbol
_atom_site_fract_x
_atom_site_fract_y
_atom_site_fract_z
Mg1 Mg 0.000 0.000 0.000
Ge1 Ge 0.500 0.500 0.500
As1 As 0.500 0.500 0.000
Br1 Br 0.000 0.500 0.500
```

Formation energy from raw total energies, eV/atom: 0.07
Energy above the most stable polymorph in this dataset, meV per atom: 59

---

Entry 5:
VASP calculation (PBE-GGA) on an optimized crystal structure of MgPa2Ge3Ir4.

Cell and atoms, written as CIF:
```
data_MgPa2Ge3Ir4
_symmetry_space_group_name_H-M 'P -4 m 2'
_symmetry_Int_Tables_number 115
_cell_length_a 4.042
_cell_length_b 4.042
_cell_length_c 11.200
_cell_angle_alpha 90.00
_cell_angle_beta 90.00
_cell_angle_gamma 90.00
loop_
_symmetry_equiv_pos_as_xyz
'x,y,z'
'y,-x,-z'
'-x,-y,z'
'-y,x,-z'
'-x,y,z'
'-y,-x,-z'
'x,-y,z'
'y,x,-z'
loop_
_atom_site_label
_atom_site_type_symbol
_atom_site_fract_x
_atom_site_fract_y
_atom_site_fract_z
Mg1 Mg 0.000 0.000 0.000
Pa1 Pa 0.000 0.500 0.742
Ge1 Ge 0.000 0.500 0.374
Ge2 Ge 0.500 0.500 0.000
Ir1 Ir 0.000 0.000 0.500
Ir2 Ir 0.000 0.500 0.159
Ir3 Ir 0.500 0.500 0.500
```

Formation energy, eV/f.u.: -6.50

---

Entry 6:
VASP calculation (PBE-GGA) on an optimized crystal structure of InFe2Sn2.

Cell and atoms, written as CIF:
```
data_InFe2Sn2
_symmetry_space_group_name_H-M 'P 4/m b m'
_symmetry_Int_Tables_number 127
_symmetry_space_group_name_Hall '-P 4 2ab'
_cell_length_a 6.977
_cell_length_b 6.977
_cell_length_c 3.921
_cell_angle_alpha 90.00
_cell_angle_beta 90.00
_cell_angle_gamma 90.00
loop_
_atom_site_label
_atom_site_type_symbol
_atom_site_fract_x
_atom_site_fract_y
_atom_site_fract_z
In1 In 0.000 0.000 0.000
Fe1 Fe 0.124 0.376 0.000
Sn1 Sn 0.165 0.665 0.500
```

Formation energy, eV/f.u.: 1.18

---

Entry 7:
VASP calculation (PBE-GGA) on an optimized crystal structure of Mg2TaSe.

Cell and atoms, written as CIF:
```
data_Mg2TaSe
_symmetry_space_group_name_H-M 'I m m m'
_symmetry_Int_Tables_number 71
_symmetry_space_group_name_Hall '-I 2 2'
_cell_length_a 3.253
_cell_length_b 4.618
_cell_length_c 9.946
_cell_angle_alpha 90.00
_cell_angle_beta 90.00
_cell_angle_gamma 90.00
loop_
_atom_site_label
_atom_site_type_symbol
_atom_site_fract_x
_atom_site_fract_y
_atom_site_fract_z
Mg1 Mg 0.000 0.000 0.228
Ta1 Ta 0.000 0.500 0.000
Se1 Se 0.000 0.500 0.500
```

Formation energy from raw total energies, eV/atom: 0.08

---

Entry 8:
VASP calculation (PBE-GGA) on an optimized crystal structure of PmYCrN3.

Cell and atoms, written as CIF:
```
data_PmYCrN3
_symmetry_space_group_name_H-M 'P 1 21/m 1'
_symmetry_Int_Tables_number 11
_cell_length_a 7.365
_cell_length_b 3.424
_cell_length_c 7.375
_cell_angle_alpha 90.00
_cell_angle_beta 98.42
_cell_angle_gamma 90.00
loop_
_symmetry_equiv_pos_as_xyz
'x,y,z'
'-x,-y,-z'
'-x,y+1/2,-z'
'x,-y+1/2,z'
loop_
_atom_site_label
_atom_site_type_symbol
_atom_site_fract_x
_atom_site_fract_y
_atom_site_fract_z
Pm1 Pm 0.178 0.250 0.176
Y1 Y 0.170 0.250 0.633
Cr1 Cr 0.402 0.750 0.918
N1 N 0.148 0.750 0.402
N2 N 0.154 0.750 0.882
N3 N 0.480 0.250 0.838
```

Formation energy from raw total energies, eV/atom: -1.10

---

Entry 9:
VASP calculation (PBE-GGA) on an optimized crystal structure of NbCuS2.

Cell and atoms, written as CIF:
```
data_NbCuS2
_symmetry_space_group_name_H-M 'R -3 m'
_symmetry_Int_Tables_number 166
_symmetry_space_group_name_Hall '-R 3 2"'
_cell_length_a 3.3277
_cell_length_b 3.3277
_cell_length_c 22.6384
_cell_angle_alpha 90.00
_cell_angle_beta 90.00
_cell_angle_gamma 120.00
loop_
_atom_site_label
_atom_site_type_symbol
_atom_site_fract_x
_atom_site_fract_y
_atom_site_fract_z
Nb1 Nb 0.0000 0.0000 0.0000
Cu1 Cu 0.0000 0.0000 0.5000
S1 S 0.0000 0.0000 0.4042
```

Formation energy from raw total energies, eV/atom: -0.66

---

Entry 10:
VASP calculation (PBE-GGA) on an optimized crystal structure of Zn3Fe2.

Cell and atoms, written as CIF:
```
data_Zn3Fe2
_symmetry_space_group_name_H-M 'R -3 m'
_symmetry_Int_Tables_number 166
_symmetry_space_group_name_Hall '-R 3 2"'
_cell_length_a 2.6522
_cell_length_b 2.6522
_cell_length_c 32.5055
_cell_angle_alpha 90.00
_cell_angle_beta 90.00
_cell_angle_gamma 120.00
loop_
_atom_site_label
_atom_site_type_symbol
_atom_site_fract_x
_atom_site_fract_y
_atom_site_fract_z
Zn1 Zn 0.0000 0.0000 0.0000
Zn2 Zn 0.0000 0.0000 0.2024
Fe1 Fe 0.0000 0.0000 0.3991
```

Formation energy, eV/f.u.: 0.34
Energy above the most stable polymorph in this dataset, meV per atom: 64

---

Entry 11:
VASP calculation (PBE-GGA) on an optimized crystal structure of LaCeF2.

Cell and atoms, written as CIF:
```
data_LaCeF2
_symmetry_space_group_name_H-M 'R -3 m'
_symmetry_Int_Tables_number 166
_symmetry_space_group_name_Hall '-R 3 2"'
_cell_length_a 4.0958
_cell_length_b 4.0958
_cell_length_c 19.3509
_cell_angle_alpha 90.00
_cell_angle_beta 90.00
_cell_angle_gamma 120.00
loop_
_atom_site_label
_atom_site_type_symbol
_atom_site_fract_x
_atom_site_fract_y
_atom_site_fract_z
La1 La 0.0000 0.0000 0.0000
Ce1 Ce 0.0000 0.0000 0.5000
F1 F 0.0000 0.0000 0.1315
```

Formation energy from raw total energies, eV/atom: -2.55

---

Entry 12:
VASP calculation (PBE-GGA) on an optimized crystal structure of Ba3Tl3Pb2.

Cell and atoms, written as CIF:
```
data_Ba3Tl3Pb2
_symmetry_space_group_name_H-M 'P n m a'
_symmetry_Int_Tables_number 62
_cell_length_a 9.583
_cell_length_b 17.833
_cell_length_c 7.161
_cell_angle_alpha 90.00
_cell_angle_beta 90.00
_cell_angle_gamma 90.00
loop_
_symmetry_equiv_pos_as_xyz
'x,y,z'
'-x,-y,-z'
'-x+1/2,-y,z+1/2'
'x+1/2,y,-z+1/2'
'x+1/2,-y+1/2,-z+1/2'
'-x+1/2,y+1/2,z+1/2'
'-x,y+1/2,-z'
'x,-y+1/2,z'
loop_
_atom_site_label
_atom_site_type_symbol
_atom_site_fract_x
_atom_site_fract_y
_atom_site_fract_z
Ba1 Ba 0.039 0.106 0.116
Ba2 Ba 0.177 0.250 0.625
Tl1 Tl 0.178 0.750 0.655
Tl2 Tl 0.194 0.047 0.545
Pb1 Pb 0.107 0.613 0.380
```

Formation energy, eV/f.u.: -3.23

---

Number 1: DFT total energy -8.936 eV/atom. Number 2: DFT total energy -4.111 eV/atom. Number 3: DFT total energy -4.817 eV/atom. Number 4: DFT total energy -2.768 eV/atom. Number 5: DFT total energy -7.638 eV/atom. Number 6: DFT total energy -5.299 eV/atom. Number 7: DFT total energy -4.551 eV/atom. Number 8: DFT total energy -8.740 eV/atom. Number 9: DFT total energy -6.266 eV/atom. Number 10: DFT total energy -4.082 eV/atom. Number 11: DFT total energy -6.197 eV/atom. Number 12: DFT total energy -2.939 eV/atom.